Computed, not measured: a geometry-optimized RbAuN structure at the GGA-PBE level of DFT.

abc: 8.395 4.797 9.300
angles: 90.00 92.55 90.00
Space group Cm (No. 8)
Unique sites:
1 Rb 0.000 0.000 0.000 [2 per cell]
2 Rb 0.024 0.000 0.482 [2 per cell]
3 Au 0.178 0.500 0.239 [2 per cell]
4 Au 0.347 0.000 0.240 [2 per cell]
5 N 0.135 0.500 0.768 [2 per cell]
6 N 0.246 0.500 0.700 [2 per cell]

Output
Distance to the lowest polymorph of the same formula: 0 meV/atom
V: 31.18 Å³/atom
Total magnetization: 0.09 μB per atom
ρ: 5.3 g/cm3
Fermi-level density of states: 6.2 states/eV/cell
Uncorrected formation energy: -0.196 eV/atom